No. 1
ReRh2Se | GGA-PBEsol | optimized geometry

* ΔE_f (raw): 0.020 eV/atom

Structure (POSCAR):
```
ReRh2Se
1.0
2.784 0.000 0.000
0.000 2.784 0.000
0.000 0.000 7.565
Re Rh Se
1 2 1
Direct
0.000 0.000 0.000
0.500 0.500 0.236
0.500 0.500 0.764
0.000 0.000 0.500
```

---

No. 2
MgPt2Pb | GGA-PBEsol | optimized geometry

* E_form: 0.5 kJ/mol of atoms

Structure (POSCAR):
```
MgPt2Pb
1.0
3.183 0.000 0.000
-1.592 2.757 0.000
0.000 0.000 26.031
Mg Pt Pb
3 6 3
Direct
0.000 0.000 0.000
0.333 0.667 0.667
0.667 0.333 0.333
0.000 0.000 0.484
0.000 0.000 0.738
0.333 0.667 0.150
0.333 0.667 0.405
0.667 0.333 0.072
0.667 0.333 0.817
0.000 0.000 0.231
0.333 0.667 0.898
0.667 0.333 0.565
```

---

no.,E (eV/cell)
1,-33.38
2,-58.87